This record from the Alexandria database describes a relaxed structure of Rb2CaIn3Hg12. The functional is PBE.

As for the calculated total energy: -0.957 eV per atom. The value obtained for the density of states at the Fermi level is 0.38 states/eV per atom. The total magnetic moment comes out at 0.000 μB/atom. As for the space-group type: No. 166. The value obtained for the formation energy is -0.08 eV/atom.

POSCAR file:
```
Rb2CaIn3Hg12
1.0
-4.503 -2.349 -6.529
-2.457 -7.040 3.581
-6.967 3.337 2.959
Rb Ca In Hg
2 1 3 12
Cartesian
-8.881 -3.860 0.007
-5.046 -2.193 0.004
0.000 0.000 0.000
-2.251 -1.174 -3.265
-1.228 -3.520 1.791
-3.484 1.668 1.479
-9.155 -0.537 1.604
-7.540 -6.643 -1.556
-8.843 -3.636 3.461
-7.823 -3.612 -3.526
-9.925 -1.155 -1.885
-6.716 -6.148 1.940
-4.772 -5.515 -1.593
-6.386 0.590 1.566
-5.084 -2.417 -3.451
-6.104 -2.441 3.537
-4.001 -4.897 1.896
-7.211 0.096 -1.930
```

***

This record from the Alexandria database describes a relaxed structure of AlPbCl. The functional is PBE.

As for the calculated total energy: -2.967 eV per atom. The value obtained for the density of states at the Fermi level is 1.13 states/eV per atom. The total magnetic moment comes out at 0.000 μB/atom. The formation energy from raw total energies comes out at 132 meV/atom. As for the space-group type: No. 216.

POSCAR file:
```
AlPbCl
1.0
-1.719 -2.605 -3.835
3.154 -2.242 -3.078
0.368 -4.931 -0.003
Pb Al Cl
1 1 1
Cartesian
0.902 -4.889 -3.458
1.353 -7.334 -5.187
0.000 0.000 0.000
```

***

This record from the Alexandria database describes a relaxed structure of RbNaSr2Cd. The functional is PBE.

As for the calculated total energy: -1.233 eV per atom. The value obtained for the density of states at the Fermi level is 0.61 states/eV per atom. The total magnetic moment comes out at 0.000 μB/atom. As for the space-group type: No. 123. The value obtained for the formation energy is 0.08 eV/atom.

POSCAR file:
```
RbNaSr2Cd
1.0
6.476 0.000 0.000
0.000 6.476 0.000
0.000 0.000 6.910
Sr Na Rb Cd
2 1 1 1
Cartesian
0.000 3.238 0.000
3.238 0.000 0.000
3.238 3.238 3.455
0.000 0.000 3.455
0.000 0.000 0.000
```

***

This record from the Alexandria database describes a relaxed structure of ScTaBe2. The functional is PBE.

As for the calculated total energy: -6.057 eV per atom. The value obtained for the density of states at the Fermi level is 0.96 states/eV per atom. The total magnetic moment comes out at 0.000 μB/atom. As for the space-group type: No. 166. The value obtained for the formation energy is 0.35 eV/atom.

POSCAR file:
```
ScTaBe2
1.0
7.701 -0.011 -0.006
7.082 3.026 -0.006
7.082 1.445 2.659
Sc Be Ta
1 2 1
Cartesian
5.466 1.115 0.662
0.093 0.019 0.011
10.840 2.211 1.312
16.399 3.345 1.985
```

***

This record from the Alexandria database describes a relaxed structure of Nd3Sm4Tl5. The functional is PBE.

As for the calculated total energy: -3.907 eV per atom. The value obtained for the density of states at the Fermi level is 1.19 states/eV per atom. The total magnetic moment comes out at 0.000 μB/atom. As for the space-group type: No. 12. The value obtained for the formation energy is -0.16 eV/atom.

POSCAR file:
```
Nd3Sm4Tl5
1.0
6.007 0.000 0.000
3.004 7.219 -1.825
3.004 -0.739 8.886
Nd Sm Tl
3 4 5
Cartesian
6.007 5.006 0.639
3.004 3.240 3.531
6.007 1.474 6.422
6.007 1.670 0.399
6.007 6.706 3.770
6.007 -0.226 3.291
6.007 4.810 6.662
9.011 5.774 5.627
6.007 3.240 3.531
3.004 3.754 0.441
9.011 2.726 6.620
3.004 0.706 1.434
```

***

This record from the Alexandria database describes a relaxed structure of Tb2ThSe4. The functional is PBE.

As for the calculated total energy: -6.114 eV per atom. The value obtained for the density of states at the Fermi level is 0.55 states/eV per atom. The total magnetic moment comes out at 0.000 μB/atom. The formation energy from raw total energies comes out at -1740 meV/atom. As for the space-group type: No. 63.

POSCAR file:
```
Tb2ThSe4
1.0
-2.002 3.088 -1.692
-4.013 -5.745 -0.888
-6.256 2.515 11.995
Tb Th Se
4 2 8
Cartesian
-4.058 -0.036 4.737
-10.511 0.818 9.085
-1.760 -0.960 0.330
-8.213 -0.106 4.678
-6.952 2.376 7.715
-5.319 -2.518 1.700
-4.528 -0.447 -0.307
-6.102 0.185 2.711
-7.743 0.306 9.722
-6.169 -0.327 6.705
-10.375 -0.492 6.531
-1.896 0.351 2.884
-1.001 1.544 -0.846
-4.129 2.802 5.152
```

***

This record from the Alexandria database describes a relaxed structure of Cs2LiReBr6. The functional is PBE.

As for the calculated total energy: -3.627 eV per atom. The value obtained for the density of states at the Fermi level is 0.60 states/eV per atom. The total magnetic moment comes out at 0.200 μB/atom. The formation energy from raw total energies comes out at -1016 meV/atom. As for the space-group type: No. 139.

POSCAR file:
```
Cs2LiReBr6
1.0
-5.209 4.684 3.062
0.407 -3.854 6.590
1.555 3.713 6.510
Cs Re Br Li
2 1 6 1
Cartesian
-3.027 4.406 7.199
-0.219 0.137 8.963
0.000 0.000 0.000
-0.325 2.145 5.709
-2.920 2.398 10.452
-1.144 0.198 2.300
-3.657 0.632 7.352
-3.870 2.650 3.903
-0.931 -1.820 5.749
-2.401 0.415 4.826
```

***

This record from the Alexandria database describes a relaxed structure of KSr2Ag2. The functional is PBE.

As for the calculated total energy: -2.090 eV per atom. The value obtained for the density of states at the Fermi level is 0.70 states/eV per atom. The total magnetic moment comes out at 0.000 μB/atom. As for the space-group type: No. 139. The value obtained for the formation energy is -0.06 eV/atom.

POSCAR file:
```
KSr2Ag2
1.0
5.463 0.000 0.000
0.000 5.463 0.000
2.732 2.732 6.540
Sr K Ag
2 1 2
Cartesian
5.463 2.732 3.270
2.732 5.463 3.270
0.000 0.000 0.000
2.732 2.732 1.402
5.463 5.463 5.139
```

***

This record from the Alexandria database describes a relaxed structure of Ho12MgCo5. The functional is PBE.

As for the calculated total energy: -5.298 eV per atom. The value obtained for the density of states at the Fermi level is 1.04 states/eV per atom. The total magnetic moment comes out at 0.000 μB/atom. As for the space-group type: No. 71. The value obtained for the formation energy is -0.18 eV/atom.

POSCAR file:
```
Ho12MgCo5
1.0
7.725 0.011 -2.940
-4.023 6.799 -2.431
0.002 -0.011 8.266
Ho Mg Co
12 1 5
Cartesian
0.774 5.547 2.332
2.930 1.252 0.563
6.158 1.252 2.787
-2.454 5.547 0.107
2.596 4.669 -0.570
1.108 2.131 3.464
-0.389 4.658 5.637
4.093 2.141 -2.743
3.819 4.086 2.728
-0.115 2.714 0.167
-2.478 6.703 3.595
6.182 0.097 -0.701
-2.011 3.394 2.917
2.304 4.237 -3.342
1.399 2.573 -2.029
3.411 0.765 3.320
0.293 6.035 -0.426
0.000 0.000 0.000
```

***

This record from the Alexandria database describes a relaxed structure of YCrPt6. The functional is PBE.

As for the calculated total energy: -7.139 eV per atom. The value obtained for the density of states at the Fermi level is 1.23 states/eV per atom. The total magnetic moment comes out at 0.292 μB/atom. As for the space-group type: No. 123. The value obtained for the formation energy is -0.60 eV/atom.

POSCAR file:
```
YCrPt6
1.0
4.019 0.000 0.000
0.000 4.019 0.000
0.000 0.000 8.089
Y Cr Pt
1 1 6
Cartesian
0.000 0.000 0.000
0.000 0.000 4.044
2.010 2.010 0.000
2.010 2.010 4.044
2.010 0.000 2.150
2.010 0.000 5.938
0.000 2.010 2.150
0.000 2.010 5.938
```

***

This record from the Alexandria database describes a relaxed structure of TcAsN2F. The functional is PBE.

As for the calculated total energy: -5.719 eV per atom. The value obtained for the density of states at the Fermi level is 0.45 states/eV per atom. The total magnetic moment comes out at 0.813 μB/atom. The formation energy from raw total energies comes out at 989 meV/atom. As for the space-group type: No. 123.

POSCAR file:
```
TcAsN2F
1.0
-1.451 1.306 3.402
-2.045 -3.323 0.403
3.015 -1.624 1.910
As N Tc F
1 2 1 1
Cartesian
0.000 0.000 0.000
-1.022 -1.661 0.202
-0.726 0.653 1.701
-0.240 -1.820 2.857
1.508 -0.812 0.955
```

***

This record from the Alexandria database describes a relaxed structure of HfMgPt2. The functional is PBE.

As for the calculated total energy: -6.439 eV per atom. The value obtained for the density of states at the Fermi level is 0.08 states/eV per atom. The total magnetic moment comes out at 0.000 μB/atom. As for the space-group type: No. 122. The value obtained for the formation energy is -0.53 eV/atom.

POSCAR file:
```
HfMgPt2
1.0
7.226 0.000 0.000
0.000 7.226 0.000
3.613 3.613 2.899
Mg Hf Pt
2 2 4
Cartesian
3.613 3.613 0.000
3.613 7.226 1.450
0.000 0.000 0.000
7.226 3.613 1.450
5.449 1.807 0.725
1.778 5.420 0.725
5.420 5.391 2.174
9.033 9.062 2.174
```